No. 1
A plane-wave DFT calculation with PBE-GGA was carried out for an optimized crystal structure of TmNi3B2.

Cell lengths 6.3364, 6.3364, 5.9062 Å; angles 57.56, 57.56, 60.00 degrees
Sites, in units of the cell vectors:
Tm  0.7983  0.7983  0.6050
Tm  0.2017  0.2017  0.3950
Ni  0.3038  0.7689  0.1584
Ni  0.7689  0.3038  0.1584
Ni  0.7689  0.7689  0.1584
Ni  0.2311  0.6962  0.8416
Ni  0.6962  0.2311  0.8416
Ni  0.2311  0.2311  0.8416
B  0.0000  0.0000  0.0000
B  0.0000  0.5000  0.0000
B  0.5000  0.5000  0.0000
B  0.5000  0.0000  0.0000

Computed properties:
- Total magnetization: 0.00 μB/f.u.
- Space group: R-3m, No. 166
- Energy above the lowest structure with this stoichiometry: 0.318 eV per atom
- Total DFT energy (no corrections): -71.67 eV for the cell shown


No. 2
A plane-wave DFT calculation with PBE-GGA was carried out for an optimized crystal structure of ZnSb2P2O9.

Cell lengths 6.3525, 7.3731, 18.1871 Å; angles 90.00, 90.00, 90.00 degrees
Sites, in units of the cell vectors:
Zn  0.5232  0.5646  0.0146
Zn  0.9768  0.4354  0.5146
Zn  0.0232  0.9354  0.9854
Zn  0.4768  0.0646  0.4854
Sb  0.0992  0.4960  0.1538
Sb  0.9008  0.9960  0.3462
Sb  0.5992  0.0040  0.8462
Sb  0.4008  0.5040  0.6538
Sb  0.5368  0.1925  0.1815
Sb  0.0368  0.3075  0.8185
Sb  0.9632  0.8075  0.6815
Sb  0.4632  0.6925  0.3185
P  0.0534  0.0330  0.1640
P  0.9466  0.5330  0.3360
P  0.5534  0.4670  0.8360
P  0.4466  0.9670  0.6640
P  0.0118  0.5146  0.9830
P  0.4882  0.4854  0.4830
P  0.5118  0.9854  0.0170
P  0.9882  0.0146  0.5170
O  0.9836  0.8488  0.5716
O  0.0164  0.3488  0.9284
O  0.4836  0.6512  0.4284
O  0.5164  0.1512  0.0716
O  0.0197  0.6917  0.9400
O  0.9803  0.1917  0.5600
O  0.5197  0.8083  0.0600
O  0.4803  0.3083  0.4400
O  0.2222  0.9645  0.7012
O  0.7778  0.4645  0.7988
O  0.7222  0.5355  0.2988
O  0.2778  0.0355  0.2012
O  0.4000  0.4308  0.1681
O  0.6000  0.9308  0.3319
O  0.9000  0.0692  0.8319
O  0.1000  0.5692  0.6681
O  0.2124  0.4918  0.0348
O  0.7876  0.9918  0.4652
O  0.7124  0.0082  0.9652
O  0.2876  0.5082  0.5348
O  0.4520  0.0780  0.5939
O  0.5480  0.5780  0.9061
O  0.9520  0.4220  0.4061
O  0.0480  0.9220  0.0939
O  0.4873  0.2647  0.8536
O  0.5127  0.7647  0.6464
O  0.9873  0.2353  0.1464
O  0.0127  0.7353  0.3536
O  0.0979  0.4531  0.2782
O  0.3227  0.0070  0.9641
O  0.1773  0.9930  0.4641
O  0.8227  0.4930  0.0359
O  0.4021  0.5469  0.7782
O  0.5979  0.0469  0.7218
O  0.9021  0.9531  0.2218
O  0.6773  0.5070  0.5359

Computed properties:
- Total magnetization: 0.00 μB/f.u.
- Space group: P2_12_12_1, No. 19
- Formation energy without anion corrections: -41.41 kcal/mol of atoms
- Total DFT energy (no corrections): -360.41 eV for the cell shown


No. 3
A plane-wave DFT calculation with PBE-GGA was carried out for an optimized crystal structure of SmMg2Mn3S8.

Cell lengths 7.5405, 7.5405, 7.5405 Å; angles 58.80, 58.80, 58.80 degrees
Sites, in units of the cell vectors:
Sm  0.5000  0.5000  0.5000
Mg  0.8767  0.8767  0.8767
Mg  0.1233  0.1233  0.1233
Mn  0.5000  0.0000  0.5000
Mn  0.0000  0.5000  0.5000
Mn  0.5000  0.5000  0.0000
S  0.7431  0.7431  0.7431
S  0.2420  0.7189  0.2420
S  0.2420  0.2420  0.7189
S  0.7189  0.2420  0.2420
S  0.7580  0.7580  0.2811
S  0.2811  0.7580  0.7580
S  0.2569  0.2569  0.2569
S  0.7580  0.2811  0.7580

Computed properties:
- Total magnetization: 12.01 μB/f.u.
- Space group: R-3m, No. 166
- Formation energy without anion corrections: -22.49 kcal/mol of atoms
- Total DFT energy (no corrections): -82.09 eV for the cell shown


No. 4
A plane-wave DFT calculation with PBE-GGA was carried out for an optimized crystal structure of TbCdSnAu.

Cell lengths 5.0912, 5.0912, 5.0912 Å; angles 60.00, 60.00, 60.00 degrees
Sites, in units of the cell vectors:
Tb  0.2500  0.2500  0.2500
Au  0.5000  0.5000  0.5000
Sn  0.0000  0.0000  0.0000
Cd  0.7500  0.7500  0.7500

Computed properties:
- Total magnetization: 0.00 μB/f.u.
- Space group: F-43m, No. 216
- Total DFT energy (no corrections): -14.73 eV for the cell shown


No. 5
A plane-wave DFT calculation with PBE-GGA was carried out for an optimized crystal structure of Tm3Pb2Au2.

Cell lengths 4.4708, 3.5203, 11.3795 Å; angles 90.00, 78.67, 90.00 degrees
Sites, in units of the cell vectors:
Tm  0.8278  0.0000  0.3445
Tm  0.0000  0.0000  0.0000
Tm  0.1722  0.0000  0.6555
Pb  0.5796  0.5000  0.8408
Pb  0.4204  0.5000  0.1592
Au  0.7122  0.5000  0.5756
Au  0.2878  0.5000  0.4244

Computed properties:
- Total magnetization: 0.19 μB/f.u.
- Space group: Cmmm, No. 65
- Total DFT energy (no corrections): -31.66 eV for the cell shown


No. 6
A plane-wave DFT calculation with PBE-GGA was carried out for an optimized crystal structure of Tm2Sc8Os.

Cell lengths 4.9812, 6.2090, 8.9380 Å; angles 86.68, 106.18, 90.00 degrees
Sites, in units of the cell vectors:
Tm  0.7745  0.6668  0.5489
Tm  0.2255  0.3332  0.4511
Sc  0.4185  0.3873  0.8370
Sc  0.6454  0.1083  0.2908
Sc  0.8412  0.1630  0.6824
Sc  0.9687  0.7709  0.9374
Sc  0.1588  0.8370  0.3176
Sc  0.3546  0.8917  0.7092
Sc  0.5815  0.6127  0.1630
Sc  0.0313  0.2291  0.0626
Os  0.5000  0.0000  0.0000

Computed properties:
- Total magnetization: 0.00 μB/f.u.
- Space group: C2/m, No. 12
- Total DFT energy (no corrections): -71.72 eV for the cell shown


No. 7
A plane-wave DFT calculation with PBE-GGA was carried out for an optimized crystal structure of Na3CeHo2O6.

Cell lengths 6.0167, 6.0167, 5.9494 Å; angles 99.67, 99.67, 120.02 degrees
Sites, in units of the cell vectors:
Na  0.1707  0.8293  0.5000
Na  0.8293  0.1707  0.5000
Na  0.5000  0.5000  0.5000
Ce  0.0000  0.0000  0.0000
Ho  0.3335  0.6665  0.0000
Ho  0.6665  0.3335  0.0000
O  0.9298  0.5856  0.7889
O  0.7261  0.7261  0.2121
O  0.0702  0.4144  0.2111
O  0.5856  0.9298  0.7889
O  0.2739  0.2739  0.7879
O  0.4144  0.0702  0.2111

Computed properties:
- Total magnetization: 0.99 μB/f.u.
- Space group: C2/m, No. 12
- Formation energy without anion corrections: -62.99 kcal/mol of atoms
- Total DFT energy (no corrections): -81.57 eV for the cell shown


No. 8
A plane-wave DFT calculation with PBE-GGA was carried out for an optimized crystal structure of Ca2Pb2W.

Cell lengths 4.2540, 4.2540, 9.3588 Å; angles 76.86, 76.86, 90.00 degrees
Sites, in units of the cell vectors:
Pb  0.7500  0.2500  0.5000
Pb  0.2500  0.7500  0.5000
Ca  0.4055  0.4055  0.1890
Ca  0.5945  0.5945  0.8110
W  0.0000  0.0000  0.0000

Computed properties:
- Total magnetization: 3.58 μB/f.u.
- Space group: I4/mmm, No. 139
- Energy above the lowest structure with this stoichiometry: 0.116 eV per atom
- Total DFT energy (no corrections): -19.89 eV for the cell shown


No. 9
A plane-wave DFT calculation with PBE-GGA was carried out for an optimized crystal structure of PuInHg2.

Cell lengths 4.3815, 4.8390, 4.8390 Å; angles 90.00, 90.00, 90.00 degrees
Sites, in units of the cell vectors:
In  0.5000  0.0000  0.0000
Hg  0.0000  0.0000  0.5000
Hg  0.0000  0.5000  0.0000
Pu  0.5000  0.5000  0.5000

Computed properties:
- Total magnetization: 6.16 μB/f.u.
- Space group: P4/mmm, No. 123
- Total DFT energy (no corrections): -18.13 eV for the cell shown


No. 10
A plane-wave DFT calculation with PBE-GGA was carried out for an optimized crystal structure of FeSiTcB2.

Cell lengths 4.0526, 4.5860, 4.0526 Å; angles 90.00, 90.00, 90.00 degrees
Sites, in units of the cell vectors:
Si  0.0000  0.5000  0.0000
B  0.0000  0.0000  0.5000
B  0.5000  0.0000  0.0000
Tc  0.0000  0.0000  0.0000
Fe  0.5000  0.5000  0.5000

Computed properties:
- Total magnetization: 3.20 μB/f.u.
- Space group: P4/mmm, No. 123
- Formation energy without anion corrections: 26.23 kcal/mol of atoms
- Total DFT energy (no corrections): -31.92 eV for the cell shown


No. 11
A plane-wave DFT calculation with PBE-GGA was carried out for an optimized crystal structure of Ho6ScNi3.

Cell lengths 6.9281, 8.4196, 8.4196 Å; angles 99.90, 90.00, 90.00 degrees
Sites, in units of the cell vectors:
Ho  0.1726  0.6997  0.6293
Ho  0.6726  0.6293  0.6997
Ho  0.3219  0.5777  0.9684
Ho  0.8219  0.9684  0.5777
Ho  0.1541  0.0364  0.9636
Ho  0.5086  0.2251  0.7749
Ho  0.0086  0.7749  0.2251
Ho  0.6541  0.9636  0.0364
Ho  0.3219  0.0316  0.4223
Ho  0.8219  0.4223  0.0316
Ho  0.1726  0.3707  0.3003
Ho  0.6726  0.3003  0.3707
Sc  0.0502  0.3233  0.6767
Sc  0.5502  0.6767  0.3233
Ni  0.4546  0.9103  0.7026
Ni  0.9546  0.7026  0.9103
Ni  0.3743  0.4125  0.5875
Ni  0.8743  0.5875  0.4125
Ni  0.9546  0.0897  0.2974
Ni  0.4546  0.2974  0.0897

Computed properties:
- Total magnetization: 0.00 μB/f.u.
- Space group: Cmc2_1, No. 36
- Total DFT energy (no corrections): -106.99 eV for the cell shown


No. 12
A plane-wave DFT calculation with PBE-GGA was carried out for an optimized crystal structure of Tb2Zn2GaNi5.

Cell lengths 3.5014, 9.3465, 9.3465 Å; angles 90.00, 90.00, 90.00 degrees
Sites, in units of the cell vectors:
Tb  0.0000  0.6773  0.1773
Tb  0.0000  0.3227  0.8227
Tb  0.0000  0.1773  0.3227
Tb  0.0000  0.8227  0.6773
Zn  0.0000  0.1203  0.6203
Zn  0.0000  0.8797  0.3797
Zn  0.0000  0.6203  0.8797
Zn  0.0000  0.3797  0.1203
Ga  0.0000  0.0000  0.0000
Ga  0.0000  0.5000  0.5000
Ni  0.5000  0.2002  0.0570
Ni  0.5000  0.7998  0.9430
Ni  0.5000  0.0570  0.7998
Ni  0.5000  0.7002  0.4430
Ni  0.5000  0.9430  0.2002
Ni  0.5000  0.2998  0.5570
Ni  0.5000  0.5570  0.7002
Ni  0.5000  0.4430  0.2998
Ni  0.5000  0.5000  0.0000
Ni  0.5000  0.0000  0.5000

Computed properties:
- Total magnetization: 0.00 μB/f.u.
- Space group: P4/mbm, No. 127
- Total DFT energy (no corrections): -93.42 eV for the cell shown


No. 13
A plane-wave DFT calculation with PBE-GGA was carried out for an optimized crystal structure of MgGeAs2Br.

Cell lengths 5.0400, 5.0400, 5.1216 Å; angles 90.00, 90.00, 90.00 degrees
Sites, in units of the cell vectors:
Mg  0.0000  0.0000  0.0000
As  0.0000  0.5000  0.0000
As  0.5000  0.0000  0.0000
Ge  0.5000  0.5000  0.5000
Br  0.0000  0.0000  0.5000

Computed properties:
- Total magnetization: 0.00 μB/f.u.
- Space group: P4/mmm, No. 123
- Energy above the lowest structure with this stoichiometry: 0.085 eV per atom
- Formation energy without anion corrections: 10.66 kcal/mol of atoms
- Total DFT energy (no corrections): -14.87 eV for the cell shown


No. 14
A plane-wave DFT calculation with PBE-GGA was carried out for an optimized crystal structure of Th4PtC2S.

Cell lengths 3.8314, 6.7517, 7.1482 Å; angles 108.31, 90.00, 90.00 degrees
Sites, in units of the cell vectors:
Th  0.5000  0.2615  0.2871
Th  0.5000  0.7385  0.7129
Th  0.0000  0.2377  0.7130
Th  0.0000  0.7623  0.2870
Pt  0.5000  0.5000  0.0000
C  0.5000  0.0000  0.5000
C  0.0000  0.5000  0.5000
S  0.0000  0.0000  0.0000

Computed properties:
- Total magnetization: 0.00 μB/f.u.
- Space group: P2/m, No. 10
- Formation energy without anion corrections: -21.19 kcal/mol of atoms
- Total DFT energy (no corrections): -65.65 eV for the cell shown


No. 15
A plane-wave DFT calculation with PBE-GGA was carried out for an optimized crystal structure of KMgZr2.

Cell lengths 5.3983, 3.0341, 7.5411 Å; angles 80.54, 90.00, 90.00 degrees
Sites, in units of the cell vectors:
K  0.5000  0.2500  0.2500
Mg  0.5000  0.7500  0.7500
Zr  0.0000  0.9705  0.9140
Zr  0.0000  0.5295  0.5860

Computed properties:
- Total magnetization: 0.00 μB/f.u.
- Space group: P2/m, No. 10
- Total DFT energy (no corrections): -17.61 eV for the cell shown


No. 16
A plane-wave DFT calculation with PBE-GGA was carried out for an optimized crystal structure of MnV2Cu.

Cell lengths 2.8954, 2.8954, 5.9282 Å; angles 90.00, 90.00, 90.00 degrees
Sites, in units of the cell vectors:
Mn  0.5000  0.5000  0.5000
Cu  0.5000  0.5000  0.0000
V  0.0000  0.0000  0.7346
V  0.0000  0.0000  0.2654

Computed properties:
- Total magnetization: 0.00 μB/f.u.
- Space group: P4/mmm, No. 123
- Total DFT energy (no corrections): -31.45 eV for the cell shown


No. 17
A plane-wave DFT calculation with PBE-GGA was carried out for an optimized crystal structure of As2Au.

Cell lengths 10.1941, 10.1941, 3.4052 Å; angles 90.00, 90.00, 159.22 degrees
Sites, in units of the cell vectors:
As  0.4529  0.5471  0.7500
As  0.5471  0.4529  0.2500
As  0.7807  0.2193  0.7500
As  0.2193  0.7807  0.2500
Au  0.1164  0.8836  0.7500
Au  0.8836  0.1164  0.2500

Computed properties:
- Total magnetization: 0.00 μB/f.u.
- Space group: Cmcm, No. 63
- Total DFT energy (no corrections): -23.64 eV for the cell shown


No. 18
A plane-wave DFT calculation with PBE-GGA was carried out for an optimized crystal structure of MgCF3.

Cell lengths 3.9014, 3.9014, 3.9014 Å; angles 90.00, 90.00, 90.00 degrees
Sites, in units of the cell vectors:
Mg  0.0000  0.0000  0.0000
C  0.5000  0.5000  0.5000
F  0.0000  0.5000  0.0000
F  0.0000  0.0000  0.5000
F  0.5000  0.0000  0.0000

Computed properties:
- Total magnetization: 1.00 μB/f.u.
- Space group: Pm-3m, No. 221
- Energy above the lowest structure with this stoichiometry: 0.000 eV per atom
- Formation energy without anion corrections: -21.14 kcal/mol of atoms
- Total DFT energy (no corrections): -21.02 eV for the cell shown


No. 19
A plane-wave DFT calculation with PBE-GGA was carried out for an optimized crystal structure of TcIr2Au.

Cell lengths 2.7564, 4.8157, 4.7082 Å; angles 90.00, 90.00, 90.00 degrees
Sites, in units of the cell vectors:
Au  0.0000  0.5000  0.5000
Ir  0.0000  0.0000  0.0000
Ir  0.5000  0.5000  0.0000
Tc  0.5000  0.0000  0.5000

Computed properties:
- Total magnetization: 0.78 μB/f.u.
- Space group: Pmmm, No. 47
- Energy above the lowest structure with this stoichiometry: 0.447 eV per atom
- Total DFT energy (no corrections): -29.49 eV for the cell shown


No. 20
A plane-wave DFT calculation with PBE-GGA was carried out for an optimized crystal structure of Li2Tb8Hg.

Cell lengths 5.3250, 7.0736, 9.1861 Å; angles 107.79, 106.85, 90.00 degrees
Sites, in units of the cell vectors:
Li  0.8181  0.3009  0.6362
Li  0.1819  0.6991  0.3638
Tb  0.4057  0.5365  0.8114
Tb  0.6734  0.9828  0.3468
Tb  0.8077  0.6993  0.6155
Tb  0.9719  0.2269  0.9439
Tb  0.1923  0.3007  0.3845
Tb  0.3266  0.0172  0.6532
Tb  0.5943  0.4635  0.1886
Tb  0.0281  0.7731  0.0561
Hg  0.5000  0.0000  0.0000

Computed properties:
- Total magnetization: 0.00 μB/f.u.
- Space group: C2/m, No. 12
- Total DFT energy (no corrections): -41.05 eV for the cell shown